(1)
5
Lattice="4.319 0.000 0.000 0.000 4.319 0.000 0.000 0.000 5.076" Properties=species:S:1:pos:R:3 comment="Be2ReTeIr (PBE-GGA, relaxed)" e_form_raw_ev_per_atom=1.976 dos_ef_per_ev_cell=3.723 energy_ev_per_cell=-22.0 space_group=P4/mmm pbc="T T T"
Be 0.000 2.160 0.000
Be 2.160 0.000 0.000
Re 0.000 0.000 2.538
Te 2.160 2.160 0.000
Ir 2.160 2.160 2.538

=====

(2)
22
Lattice="6.000 0.000 0.000 -0.618 6.809 0.000 -2.290 -2.872 8.105" Properties=species:S:1:pos:R:3 comment="Ca3Re3N5 (PBE-GGA, relaxed)" e_form_raw_ev_per_atom=-0.359 dos_ef_per_ev_cell=8.615 energy_ev_per_cell=-177.8 space_group=P-1 pbc="T T T"
Ca -0.258 1.390 3.127
Ca -0.734 -1.005 5.691
Ca 1.005 6.075 0.928
Ca 2.087 -2.138 7.177
Ca 3.826 4.942 2.414
Ca 3.350 2.547 4.978
Re 0.700 2.710 0.526
Re 0.718 4.239 3.767
Re 0.075 1.898 6.534
Re 3.017 2.040 1.571
Re 2.374 -0.302 4.338
Re 2.392 1.227 7.579
N -1.662 1.298 7.109
N 0.486 -0.842 3.376
N -0.097 3.203 5.144
N -0.098 -1.374 7.950
N 1.482 3.141 2.369
N 1.610 0.796 5.736
N 3.191 5.311 0.155
N 3.190 0.734 2.961
N 2.606 4.779 4.729
N 4.754 2.639 0.995

=====

(3)
9
Lattice="4.395 -2.647 0.000 4.395 2.647 0.000 -0.060 0.000 2.607" Properties=species:S:1:pos:R:3 comment="Ni4H5 (PBE-GGA, relaxed)" dos_ef_per_ev_cell=4.219 energy_ev_per_cell=-38.3 polymorph_energy_mev_per_atom=172 space_group=C2/m pbc="T T T"
Ni 3.207 1.413 1.906
Ni 5.523 1.413 0.701
Ni 3.207 -1.413 1.906
Ni 5.523 -1.413 0.701
H 0.000 0.000 0.000
H 2.271 0.000 1.347
H 4.395 0.622 0.000
H 4.395 -0.622 0.000
H 6.459 0.000 1.261

=====

(4)
15
Lattice="4.347 2.510 8.071 -4.347 2.510 8.071 0.000 -5.020 8.071" Properties=species:S:1:pos:R:3 comment="TlH6I8 (PBE-GGA, relaxed)" dos_ef_per_ev_cell=3.756 energy_ev_per_cell=-35.2 space_group=R-3 pbc="T T T"
Tl 0.000 0.000 0.000
H -1.071 -1.748 5.929
H -0.978 1.801 5.929
H 2.049 -0.053 5.929
H -2.049 0.053 18.285
H 0.978 -1.801 18.285
H 1.071 1.748 18.285
I -2.263 0.601 9.753
I 0.000 0.000 5.207
I -1.652 -1.659 14.461
I 0.611 -2.260 9.753
I -0.611 2.260 14.461
I 1.652 1.659 9.753
I 0.000 0.000 19.007
I 2.263 -0.601 14.461

=====

(5)
24
Lattice="8.059 -11.442 0.000 8.059 11.442 0.000 0.000 0.000 3.576" Properties=species:S:1:pos:R:3 comment="Dy9Tm4Tl11 (PBE-GGA, relaxed)" delta_e_f_ev_per_atom=-0.254 dos_ef_per_ev_cell=20.596 energy_ev_per_cell=-91.4 space_group=Cmmm pbc="T T T"
Dy 0.000 0.000 0.000
Dy 6.224 6.213 0.000
Dy 6.264 2.120 0.000
Dy 9.893 6.213 0.000
Dy 6.264 -2.120 0.000
Dy 9.854 2.120 0.000
Dy 6.224 -6.213 0.000
Dy 9.854 -2.120 0.000
Dy 9.893 -6.213 0.000
Tm 2.667 1.866 0.000
Tm 2.667 -1.866 0.000
Tm 13.451 1.866 0.000
Tm 13.451 -1.866 0.000
Tl 4.326 4.097 1.788
Tl 8.059 8.627 1.788
Tl 4.556 0.000 1.788
Tl 8.059 4.236 1.788
Tl 4.326 -4.097 1.788
Tl 8.059 0.000 1.788
Tl 11.791 4.097 1.788
Tl 8.059 -4.236 1.788
Tl 11.561 0.000 1.788
Tl 8.059 -8.627 1.788
Tl 11.791 -4.097 1.788

=====

(6)
4
Lattice="3.344 0.000 0.000 0.000 3.344 0.000 0.000 0.000 10.826" Properties=species:S:1:pos:R:3 comment="BaY2W (PBE-GGA, relaxed)" delta_e_f_ev_per_atom=0.800 dos_ef_per_ev_cell=6.442 energy_ev_per_cell=-24.6 polymorph_energy_mev_per_atom=333 space_group=P4mm pbc="T T T"
Ba 0.000 0.000 0.000
Y 0.000 0.000 4.432
Y 1.672 1.672 7.353
W 1.672 1.672 2.466

=====

(7)
4
Lattice="2.876 -4.021 0.000 2.876 4.021 0.000 0.000 0.000 3.519" Properties=species:S:1:pos:R:3 comment="InCoHg2 (PBE-GGA, relaxed)" delta_e_f_ev_per_atom=0.422 dos_ef_per_ev_cell=3.264 energy_ev_per_cell=-8.8 space_group=Cmmm pbc="T T T"
In 0.000 0.000 0.000
Co 2.876 0.000 0.000
Hg 1.438 2.011 1.759
Hg 1.438 -2.011 1.759

=====

(8)
8
Lattice="6.298 0.000 0.000 -3.149 5.454 0.000 0.000 0.000 4.616" Properties=species:S:1:pos:R:3 comment="CePuGa6 (PBE-GGA, relaxed)" delta_e_f_ev_per_atom=-0.466 dos_ef_per_ev_cell=13.055 energy_ev_per_cell=-42.2 space_group=P-6m2 pbc="T T T"
Ce 0.000 0.000 0.000
Pu 3.149 1.818 2.308
Ga -1.429 2.811 0.000
Ga 0.000 2.016 2.308
Ga -1.403 4.446 2.308
Ga 1.429 2.811 0.000
Ga 0.000 5.287 0.000
Ga 1.403 4.446 2.308

=====

(9)
4
Lattice="3.469 0.000 0.000 0.000 4.382 0.000 0.000 0.000 4.443" Properties=species:S:1:pos:R:3 comment="TlTcMo2 (PBE-GGA, relaxed)" delta_e_f_ev_per_atom=0.613 dos_ef_per_ev_cell=4.451 energy_ev_per_cell=-31.9 polymorph_energy_mev_per_atom=198 space_group=Pmmm pbc="T T T"
Tl 0.000 0.000 0.000
Tc 1.735 2.191 0.000
Mo 0.000 2.191 2.221
Mo 1.735 0.000 2.221

=====

(10)
4
Lattice="2.401 1.386 5.309 -2.401 1.386 5.309 0.000 -2.773 5.309" Properties=species:S:1:pos:R:3 comment="SmMgIn2 (PBE-GGA, relaxed)" delta_e_f_ev_per_atom=-0.300 dos_ef_per_ev_cell=1.972 energy_ev_per_cell=-13.0 space_group=R-3m pbc="T T T"
Sm 0.000 0.000 0.000
Mg 0.000 0.000 7.963
In 0.000 0.000 3.619
In 0.000 0.000 12.308

=====

(11)
11
Lattice="9.828 -2.764 0.000 9.828 2.764 0.000 -2.905 0.000 7.662" Properties=species:S:1:pos:R:3 comment="Ac8TlZn2 (PBE-GGA, relaxed)" delta_e_f_ev_per_atom=-0.101 dos_ef_per_ev_cell=11.481 energy_ev_per_cell=-38.9 polymorph_energy_mev_per_atom=3 space_group=C2/m pbc="T T T"
Ac -0.094 0.000 2.053
Ac 1.467 0.000 6.195
Ac 4.847 0.000 4.013
Ac 7.919 0.000 0.259
Ac 8.833 0.000 7.402
Ac 11.905 0.000 3.649
Ac 15.285 0.000 1.466
Ac 16.846 0.000 5.608
Tl 8.376 0.000 3.831
Zn 3.076 0.000 1.417
Zn 13.676 0.000 6.245

=====

(12)
18
Lattice="-3.666 3.666 5.652 3.666 -3.666 5.652 3.666 3.666 -5.652" Properties=species:S:1:pos:R:3 comment="Li3ZnAu5 (PBE-GGA, relaxed)" delta_e_f_ev_per_atom=-0.283 dos_ef_per_ev_cell=6.717 energy_ev_per_cell=-51.9 polymorph_energy_mev_per_atom=133 space_group=I4/mcm pbc="T T T"
Li 4.444 0.778 0.000
Li 0.000 0.000 2.826
Li 0.778 2.888 0.000
Li 2.888 0.778 5.652
Li 0.000 0.000 8.479
Li -0.778 2.888 5.652
Zn 3.666 0.000 2.826
Zn 0.000 3.666 2.826
Au 0.000 0.000 0.000
Au 2.161 1.505 -1.469
Au 2.161 -1.505 4.183
Au 2.161 1.505 1.469
Au 2.161 -1.505 7.122
Au 0.000 0.000 5.652
Au 1.505 5.172 -1.469
Au 1.505 2.161 4.183
Au 1.505 5.172 1.469
Au 1.505 2.161 7.122

=====

(13)
14
Lattice="4.263 2.461 5.816 -4.263 2.461 5.816 0.000 -4.922 5.816" Properties=species:S:1:pos:R:3 comment="Cd3In3Hg (PBE-GGA, relaxed)" delta_e_f_ev_per_atom=0.061 dos_ef_per_ev_cell=5.013 energy_ev_per_cell=-21.7 polymorph_energy_mev_per_atom=0 space_group=R-3 pbc="T T T"
Cd -2.928 -0.624 8.209
Cd -0.924 -2.848 9.240
Cd -2.005 2.224 9.240
Cd 2.005 -2.224 8.209
Cd 0.924 2.848 8.209
Cd 2.928 0.624 9.240
In -0.563 -1.783 6.336
In -1.263 1.379 6.336
In -1.826 -0.404 11.113
In 1.826 0.404 6.336
In 1.263 -1.379 11.113
In 0.563 1.783 11.113
Hg 0.000 0.000 1.449
Hg 0.000 0.000 16.000

=====

(14)
15
Lattice="6.893 -6.123 0.000 6.893 6.123 0.000 -3.227 0.000 6.058" Properties=species:S:1:pos:R:3 comment="Pr3Sm8Tm4 (PBE-GGA, relaxed)" delta_e_f_ev_per_atom=0.349 dos_ef_per_ev_cell=23.849 energy_ev_per_cell=-64.7 space_group=C2/m pbc="T T T"
Pr 0.000 0.000 0.000
Pr 1.833 3.062 3.029
Pr 1.833 -3.062 3.029
Sm 0.626 0.000 4.077
Sm 5.279 3.604 3.029
Sm 6.893 3.019 0.000
Sm 2.874 0.000 1.232
Sm 7.685 0.000 4.825
Sm 6.893 -3.019 0.000
Sm 5.279 -3.604 3.029
Sm 9.932 0.000 1.981
Tm 3.446 3.062 0.000
Tm 3.446 -3.062 0.000
Tm 6.893 0.000 0.000
Tm 5.279 0.000 3.029

=====

(15)
4
Lattice="0.000 3.557 3.557 3.557 0.000 3.557 3.557 3.557 0.000" Properties=species:S:1:pos:R:3 comment="LuScSnAu (PBE-GGA, relaxed)" delta_e_f_ev_per_atom=-0.662 dos_ef_per_ev_cell=4.103 energy_ev_per_cell=-20.8 space_group=F-43m pbc="T T T"
Lu 0.000 0.000 0.000
Sc 3.557 3.557 3.557
Sn 5.336 5.336 5.336
Au 1.779 1.779 1.779

=====

(16)
4
Lattice="4.809 -1.524 0.000 4.809 1.524 0.000 -0.497 0.000 4.322" Properties=species:S:1:pos:R:3 comment="Al2RuCl (PBE-GGA, relaxed)" e_form_raw_ev_per_atom=-0.192 dos_ef_per_ev_cell=1.657 energy_ev_per_cell=-19.4 polymorph_energy_mev_per_atom=428 space_group=Cm pbc="T T T"
Al 0.000 0.000 0.000
Al 6.514 0.000 2.478
Ru 2.510 0.000 0.317
Cl 4.141 0.000 2.176

=====

(17)
12
Lattice="5.935 0.000 0.000 -2.967 5.140 0.000 0.000 0.000 6.826" Properties=species:S:1:pos:R:3 comment="Ac3ErSi2N6 (PBE-GGA, relaxed)" e_form_raw_ev_per_atom=-1.149 dos_ef_per_ev_cell=2.829 energy_ev_per_cell=-91.5 space_group=P-3m1 pbc="T T T"
Ac 0.000 0.000 0.000
Ac 0.000 3.427 4.496
Ac 2.967 1.713 2.330
Er 0.000 0.000 3.413
Si 0.000 3.427 1.437
Si 2.967 1.713 5.389
N 0.000 1.803 1.994
N -1.406 4.238 1.994
N 1.561 0.901 4.832
N 1.406 4.238 1.994
N 4.374 0.901 4.832
N 2.967 3.337 4.832

=====

(18)
8
Lattice="-6.150 6.150 2.538 6.150 -6.150 2.538 6.150 6.150 -2.538" Properties=species:S:1:pos:R:3 comment="K2TiBr (PBE-GGA, relaxed)" e_form_raw_ev_per_atom=0.114 dos_ef_per_ev_cell=9.146 energy_ev_per_cell=-22.6 polymorph_energy_mev_per_atom=0 space_group=I-42d pbc="T T T"
K 1.269 3.075 0.635
K -3.075 4.882 1.904
K -1.269 9.225 0.635
K 3.075 7.419 1.904
Ti 6.150 0.000 1.269
Ti 0.000 0.000 2.538
Br 0.000 0.000 0.000
Br 0.000 6.150 1.269

=====

(19)
5
Lattice="4.787 0.000 0.000 0.000 4.787 0.000 0.000 0.000 4.787" Properties=species:S:1:pos:R:3 comment="LaOsCl3 (PBE-GGA, relaxed)" e_form_raw_ev_per_atom=-0.275 dos_ef_per_ev_cell=3.268 energy_ev_per_cell=-23.1 polymorph_energy_mev_per_atom=0 space_group=Pm-3m pbc="T T T"
La 0.000 0.000 0.000
Os 2.394 2.394 2.394
Cl 0.000 2.394 2.394
Cl 2.394 0.000 2.394
Cl 2.394 2.394 0.000